VASP calculation (PBE-GGA) on a relaxed structure of Sc4CuTc.

Cell: 7.2318 7.2318 7.2318 Å, 38.42 38.42 38.42°
Closest atoms and distances in Å follow each position.
Fractional positions:
Sc1 0.1269 0.1269 0.1269  1 Tc 2.55
Sc2 0.3690 0.3690 0.3690  1 Cu 2.63, 3 Tc 2.84
Sc3 0.6310 0.6310 0.6310  1 Cu 2.63, 3 Tc 2.84
Sc4 0.8731 0.8731 0.8731  1 Tc 2.55
Cu1 0.5000 0.5000 0.5000  8 Sc 2.63-2.86
Tc1 0.0000 0.0000 0.0000  8 Sc 2.55-2.84

Results
total magnetic moment = 0.0 Bohr magnetons per cell
mass density = 4.32 g/cm3
calculated total energy = -6.623 eV/atom
offset from the most stable computed form = 174 meV per atom
SG = R-3m (166)